## Li3BPd3 (PBE-GGA)

Data for a geometry-optimized Li3BPd3 structure.

Output
Calculated total energy   -4.24 eV/atom

Lattice parameters (Å, degrees): 4.085 7.130 7.130 120.00 90.00 90.00
Fractional positions:
Li  0.750  0.106  0.553
Li  0.750  0.447  0.894
Li  0.250  0.553  0.447
Li  0.750  0.447  0.553
Li  0.250  0.553  0.106
Li  0.250  0.894  0.447
B  0.250  0.333  0.667
B  0.750  0.667  0.333
Pd  0.750  0.327  0.163
Pd  0.750  0.836  0.673
Pd  0.250  0.163  0.836
Pd  0.750  0.837  0.164
Pd  0.250  0.164  0.327
Pd  0.250  0.673  0.837